# 1
# CsRb2MgTl | Alexandria via LeMat-Bulk | PBE | relaxed
# ΔH_f (0 K): 0.133 eV per atom
# DFT total energy: -1.2169 eV/atom
# Total magnetic moment: 0.0 μB per formula unit
# D(E_F): 0.73 states/eV/atom
# E above lowest polymorph: 4.4 kJ per mole of atoms
data_CsRb2MgTl
_space_group_name_H-M_alt 'P 1'
_space_group_IT_number 1
_cell_length_a 7.404
_cell_length_b 7.404
_cell_length_c 5.781
_cell_angle_alpha 90.00
_cell_angle_beta 90.00
_cell_angle_gamma 90.00
loop_
_space_group_symop_operation_xyz
'x,y,z'
loop_
_atom_site_label
_atom_site_type_symbol
_atom_site_fract_x
_atom_site_fract_y
_atom_site_fract_z
Cs1 Cs 0.500 0.500 0.500
Tl1 Tl 0.000 0.000 0.500
Mg1 Mg 0.000 0.000 0.000
Rb1 Rb 0.000 0.500 0.000
Rb2 Rb 0.500 0.000 0.000

=====

# 2
# Y3NbTc | Alexandria via LeMat-Bulk | PBE | relaxed
# ΔH_f (0 K): 0.671 eV per atom
# DFT total energy: -7.2946 eV/atom
# Total magnetic moment: 3.0 μB per formula unit
# D(E_F): 0.74 states/eV/atom
# E above lowest polymorph: 0.0 kJ per mole of atoms
data_Y3NbTc
_space_group_name_H-M_alt 'P 1'
_space_group_IT_number 1
_cell_length_a 5.264
_cell_length_b 5.264
_cell_length_c 5.264
_cell_angle_alpha 90.00
_cell_angle_beta 90.00
_cell_angle_gamma 90.00
loop_
_space_group_symop_operation_xyz
'x,y,z'
loop_
_atom_site_label
_atom_site_type_symbol
_atom_site_fract_x
_atom_site_fract_y
_atom_site_fract_z
Y1 Y 0.000 0.500 0.000
Y2 Y 0.000 0.000 0.500
Y3 Y 0.500 0.000 0.000
Nb1 Nb 0.500 0.500 0.500
Tc1 Tc 0.000 0.000 0.000

=====

# 3
# Al2TeIBr | Alexandria via LeMat-Bulk | PBE | relaxed
# ΔE_f (raw): 1.4 eV per formula unit
# DFT total energy: -2.4928 eV/atom
# Total magnetic moment: 0.0 μB per formula unit
# D(E_F): 0.43 states/eV/atom
data_Al2TeIBr
_space_group_name_H-M_alt 'P 1'
_space_group_IT_number 1
_cell_length_a 5.909
_cell_length_b 5.504
_cell_length_c 5.909
_cell_angle_alpha 90.00
_cell_angle_beta 90.00
_cell_angle_gamma 90.00
loop_
_space_group_symop_operation_xyz
'x,y,z'
loop_
_atom_site_label
_atom_site_type_symbol
_atom_site_fract_x
_atom_site_fract_y
_atom_site_fract_z
I1 I 0.500 0.500 0.500
Te1 Te 0.000 0.000 0.000
Al1 Al 0.000 0.000 0.500
Al2 Al 0.500 0.000 0.000
Br1 Br 0.000 0.500 0.000

=====

# 4
# NpAgHgCl6 | Alexandria via LeMat-Bulk | PBE | relaxed
# ΔE_f (raw): -9.6 eV per formula unit
# DFT total energy: -4.0834 eV/atom
# Total magnetic moment: 2.0 μB per formula unit
# D(E_F): 0.86 states/eV/atom
data_NpAgHgCl6
_space_group_name_H-M_alt 'P 1'
_space_group_IT_number 1
_cell_length_a 6.696
_cell_length_b 6.695
_cell_length_c 8.742
_cell_angle_alpha 90.00
_cell_angle_beta 89.98
_cell_angle_gamma 60.00
loop_
_space_group_symop_operation_xyz
'x,y,z'
loop_
_atom_site_label
_atom_site_type_symbol
_atom_site_fract_x
_atom_site_fract_y
_atom_site_fract_z
Np1 Np 0.333 0.333 0.500
Ag1 Ag 0.667 0.667 0.500
Hg1 Hg 0.000 0.000 0.000
Cl1 Cl 0.025 0.335 0.328
Cl2 Cl 0.335 0.025 0.672
Cl3 Cl 0.640 0.335 0.672
Cl4 Cl 0.025 0.640 0.672
Cl5 Cl 0.335 0.640 0.328
Cl6 Cl 0.640 0.025 0.328

=====

# 5
# Mg2PaBr8 | Alexandria via LeMat-Bulk | PBE | relaxed
# ΔE_f (raw): -15.0 eV per formula unit
# DFT total energy: -3.7306 eV/atom
# Total magnetic moment: 1.0 μB per formula unit
# D(E_F): 0.06 states/eV/atom
data_Mg2PaBr8
_space_group_name_H-M_alt 'P 1'
_space_group_IT_number 1
_cell_length_a 6.873
_cell_length_b 9.447
_cell_length_c 9.447
_cell_angle_alpha 48.33
_cell_angle_beta 86.52
_cell_angle_gamma 86.52
loop_
_space_group_symop_operation_xyz
'x,y,z'
loop_
_atom_site_label
_atom_site_type_symbol
_atom_site_fract_x
_atom_site_fract_y
_atom_site_fract_z
Mg1 Mg 0.569 0.158 0.158
Mg2 Mg 0.431 0.842 0.842
Pa1 Pa 0.000 0.000 0.000
Br1 Br 0.262 0.173 0.686
Br2 Br 0.262 0.686 0.173
Br3 Br 0.738 0.827 0.314
Br4 Br 0.357 0.708 0.708
Br5 Br 0.738 0.314 0.827
Br6 Br 0.200 0.138 0.138
Br7 Br 0.800 0.862 0.862
Br8 Br 0.643 0.292 0.292

=====

# 6
# LiMnCu | Alexandria via LeMat-Bulk | PBE | relaxed
# ΔH_f (0 K): 0.476 eV per atom
# DFT total energy: -4.5836 eV/atom
# Total magnetic moment: 4.2 μB per formula unit
# D(E_F): 0.49 states/eV/atom
# E above lowest polymorph: 29.9 kJ per mole of atoms
data_LiMnCu
_space_group_name_H-M_alt 'P 1'
_space_group_IT_number 1
_cell_length_a 4.147
_cell_length_b 4.147
_cell_length_c 4.147
_cell_angle_alpha 60.00
_cell_angle_beta 60.00
_cell_angle_gamma 60.00
loop_
_space_group_symop_operation_xyz
'x,y,z'
loop_
_atom_site_label
_atom_site_type_symbol
_atom_site_fract_x
_atom_site_fract_y
_atom_site_fract_z
Cu1 Cu 0.750 0.750 0.750
Li1 Li 0.000 0.000 0.000
Mn1 Mn 0.500 0.500 0.500

=====

Repeat the fourth record exactly.
# NpAgHgCl6 | Alexandria via LeMat-Bulk | PBE | relaxed
# ΔE_f (raw): -9.6 eV per formula unit
# DFT total energy: -4.0834 eV/atom
# Total magnetic moment: 2.0 μB per formula unit
# D(E_F): 0.86 states/eV/atom
data_NpAgHgCl6
_space_group_name_H-M_alt 'P 1'
_space_group_IT_number 1
_cell_length_a 6.696
_cell_length_b 6.695
_cell_length_c 8.742
_cell_angle_alpha 90.00
_cell_angle_beta 89.98
_cell_angle_gamma 60.00
loop_
_space_group_symop_operation_xyz
'x,y,z'
loop_
_atom_site_label
_atom_site_type_symbol
_atom_site_fract_x
_atom_site_fract_y
_atom_site_fract_z
Np1 Np 0.333 0.333 0.500
Ag1 Ag 0.667 0.667 0.500
Hg1 Hg 0.000 0.000 0.000
Cl1 Cl 0.025 0.335 0.328
Cl2 Cl 0.335 0.025 0.672
Cl3 Cl 0.640 0.335 0.672
Cl4 Cl 0.025 0.640 0.672
Cl5 Cl 0.335 0.640 0.328
Cl6 Cl 0.640 0.025 0.328